Nd4Sm3ErS8: relaxed, PBE-GGA.

Lattice parameters (Å, degrees): 8.0284 8.0660 8.0278 119.84 120.00 90.00
Fractional positions:
Sm  0.5000  0.5000  0.0000
Sm  0.0000  0.5000  0.5000
Sm  0.5000  0.5000  0.5000
Er  0.0000  0.5000  0.0000
Nd  0.0000  0.0000  0.5000
Nd  0.0000  0.0000  0.0000
Nd  0.5000  0.0000  0.5000
Nd  0.5000  0.0000  0.0000
S  0.7574  0.2612  0.5147
S  0.2426  0.7388  0.4853
S  0.7480  0.7440  0.4960
S  0.2426  0.7388  0.9962
S  0.7574  0.2612  0.0038
S  0.2465  0.2612  0.0038
S  0.7535  0.7388  0.9962
S  0.2520  0.2560  0.5040

Output
E in eV/atom: -6.438
Space group: R-3m



DyPuCd2: relaxed, PBE-GGA.

Lattice parameters (Å, degrees): 3.2531 3.2531 9.5493 90.00 90.00 90.00
Site moments in Bohr magnetons follow the coordinates.
Fractional positions:
Cd  0.0000  0.0000  0.2444  0.00
Cd  0.0000  0.0000  0.7556  0.00
Dy  0.5000  0.5000  0.0000  -0.12
Pu  0.5000  0.5000  0.5000  5.56

Output
Polymorph energy (0 for the lowest one) in eV/atom: 0.0001
Space group: P4/mmm
Calculated formation energy in eV per formula unit: -0.5